MnAgAu2 | PBE-GGA | optimized geometry

Properties
Uncorrected energy ... -4.64 eV per atom
Fermi-level density of states ... 1.69 states/eV/cell
DFT formation energy ... 0.01 eV per atom

Unit cell a=2.906 b=4.784 c=4.967 alpha=90.00 beta=90.00 gamma=90.00
Sites, in units of the cell vectors:
Mn  0.000  0.000  0.000
Ag  0.000  0.500  0.654
Au  0.500  0.000  0.499
Au  0.500  0.500  0.147

---

BaCeTcO6 | PBE-GGA | optimized geometry

Properties
ΔE_f (raw) ... -2.3457 eV per atom
Uncorrected energy ... -7.68 eV per atom
Fermi-level density of states ... 8.99 states/eV/cell

Unit cell a=7.201 b=7.201 c=7.201 alpha=118.92 beta=118.06 gamma=92.64
Sites, in units of the cell vectors:
Ba  0.336  0.086  0.250
Ba  0.664  0.914  0.750
Ce  0.000  0.500  0.500
Ce  0.500  0.500  0.000
Tc  0.000  0.000  0.500
Tc  0.000  0.500  0.000
O  0.052  0.328  0.141
O  0.052  0.911  0.724
O  0.076  0.326  0.750
O  0.312  0.089  0.641
O  0.312  0.672  0.224
O  0.364  0.614  0.750
O  0.636  0.386  0.250
O  0.688  0.328  0.776
O  0.688  0.911  0.359
O  0.924  0.674  0.250
O  0.948  0.089  0.276
O  0.948  0.672  0.859

---

AgHgSe2 | PBE-GGA | optimized geometry

Properties
ΔE_f (raw) ... 0.0890 eV per atom
Uncorrected energy ... -2.44 eV per atom
Fermi-level density of states ... 1.88 states/eV/cell

Unit cell a=6.530 b=6.530 c=3.858 alpha=107.08 beta=107.08 gamma=37.03
Sites, in units of the cell vectors:
Ag  0.000  0.000  0.000
Hg  0.500  0.500  0.500
Se  0.232  0.232  0.231
Se  0.768  0.768  0.769

---

La8Ir2OsRu | PBE-GGA | optimized geometry

Properties
Uncorrected energy ... -6.89 eV per atom
Fermi-level density of states ... 7.52 states/eV/cell
DFT formation energy ... -0.42 eV per atom

Unit cell a=6.714 b=8.617 c=6.831 alpha=90.00 beta=90.40 gamma=90.00
Sites, in units of the cell vectors:
La  0.221  0.250  0.331
La  0.221  0.750  0.331
La  0.272  0.000  0.828
La  0.273  0.500  0.828
La  0.727  0.500  0.172
La  0.728  0.000  0.172
La  0.779  0.250  0.669
La  0.779  0.750  0.669
Ir  0.500  0.249  0.000
Ir  0.500  0.751  0.000
Os  0.000  0.500  0.500
Ru  0.000  0.000  0.500

---

ZrHg2 | PBE-GGA | optimized geometry

Properties
Uncorrected energy ... -3.10 eV per atom
Fermi-level density of states ... 4.13 states/eV/cell
DFT formation energy ... -0.05 eV per atom

Unit cell a=6.959 b=6.959 c=4.496 alpha=90.00 beta=90.00 gamma=142.90
Sites, in units of the cell vectors:
Zr  0.087  0.913  0.750
Zr  0.913  0.087  0.250
Hg  0.251  0.749  0.250
Hg  0.421  0.579  0.750
Hg  0.579  0.421  0.250
Hg  0.749  0.251  0.750

---

Sr2PdF | PBE-GGA | optimized geometry

Properties
ΔE_f (raw) ... -1.5867 eV per atom
Uncorrected energy ... -4.19 eV per atom
Fermi-level density of states ... 2.98 states/eV/cell

Unit cell a=6.615 b=6.615 c=6.615 alpha=113.88 beta=113.88 gamma=100.97
Sites, in units of the cell vectors:
Sr  0.070  0.625  0.945
Sr  0.375  0.320  0.445
Sr  0.680  0.125  0.055
Sr  0.875  0.930  0.555
Pd  0.250  0.750  0.500
Pd  0.500  0.500  0.000
F  0.000  0.000  0.000
F  0.750  0.250  0.500

---

CeSmRuAu | PBE-GGA | optimized geometry

Properties
Uncorrected energy ... -6.22 eV per atom
Fermi-level density of states ... 7.50 states/eV/cell
DFT formation energy ... -0.42 eV per atom

Unit cell a=5.055 b=5.055 c=5.055 alpha=60.00 beta=60.00 gamma=60.00
Sites, in units of the cell vectors:
Ce  0.000  0.000  0.000
Sm  0.500  0.500  0.500
Ru  0.250  0.250  0.250
Au  0.750  0.750  0.750

---

Li3LaP | PBE-GGA | optimized geometry

Properties
Uncorrected energy ... -3.43 eV per atom
Fermi-level density of states ... 5.64 states/eV/cell
DFT formation energy ... -0.21 eV per atom

Unit cell a=4.667 b=4.667 c=4.667 alpha=90.00 beta=90.00 gamma=90.00
Sites, in units of the cell vectors:
Li  0.000  0.000  0.500
Li  0.000  0.500  0.000
Li  0.500  0.000  0.000
La  0.500  0.500  0.500
P  0.000  0.000  0.000

---

Tb3PbCO | PBE-GGA | optimized geometry

Properties
ΔE_f (raw) ... -1.2575 eV per atom
Uncorrected energy ... -6.55 eV per atom
Fermi-level density of states ... 4.06 states/eV/cell

Unit cell a=8.741 b=3.762 c=9.103 alpha=90.00 beta=110.99 gamma=90.00
Sites, in units of the cell vectors:
Tb  0.028  0.250  0.356
Tb  0.316  0.250  0.950
Tb  0.364  0.750  0.638
Tb  0.636  0.250  0.362
Tb  0.684  0.750  0.050
Tb  0.972  0.750  0.644
Pb  0.272  0.750  0.242
Pb  0.728  0.250  0.758
C  0.169  0.250  0.637
C  0.831  0.750  0.363
O  0.414  0.750  0.893
O  0.586  0.250  0.107

---

HfIn2I4Br2 | PBE-GGA | optimized geometry

Properties
ΔE_f (raw) ... -0.8346 eV per atom
Uncorrected energy ... -3.61 eV per atom
Fermi-level density of states ... 0.00 states/eV/cell

Unit cell a=7.962 b=7.962 c=8.105 alpha=120.17 beta=120.17 gamma=61.81
Sites, in units of the cell vectors:
Hf  0.000  0.000  0.000
In  0.243  0.243  0.774
In  0.757  0.757  0.226
I  0.195  0.701  0.191
I  0.299  0.805  0.809
I  0.701  0.195  0.191
I  0.805  0.299  0.809
Br  0.224  0.224  0.313
Br  0.776  0.776  0.687

---

Be2MoP | PBE-GGA | optimized geometry

Properties
Uncorrected energy ... -5.76 eV per atom
Fermi-level density of states ... 1.72 states/eV/cell
DFT formation energy ... 0.16 eV per atom

Unit cell a=4.613 b=4.613 c=2.670 alpha=98.55 beta=98.55 gamma=118.43
Sites, in units of the cell vectors:
Be  0.000  0.500  0.000
Be  0.500  0.000  0.000
Mo  0.000  0.000  0.500
P  0.500  0.500  0.500

---

BaBi6Se8 | PBE-GGA | optimized geometry

Properties
ΔE_f (raw) ... -0.3985 eV per atom
Uncorrected energy ... -3.94 eV per atom
Fermi-level density of states ... 7.88 states/eV/cell

Unit cell a=8.006 b=8.006 c=8.006 alpha=91.15 beta=91.15 gamma=91.15
Sites, in units of the cell vectors:
Ba  0.000  0.000  0.000
Bi  0.216  0.373  0.601
Bi  0.373  0.601  0.216
Bi  0.399  0.784  0.627
Bi  0.601  0.216  0.373
Bi  0.627  0.399  0.784
Bi  0.784  0.627  0.399
Se  0.120  0.785  0.357
Se  0.215  0.643  0.880
Se  0.259  0.259  0.259
Se  0.357  0.120  0.785
Se  0.643  0.880  0.215
Se  0.741  0.741  0.741
Se  0.785  0.357  0.120
Se  0.880  0.215  0.643

---

Ba2CdGaPb6 | PBE-GGA | optimized geometry

Properties
Uncorrected energy ... -3.17 eV per atom
Fermi-level density of states ... 10.81 states/eV/cell
DFT formation energy ... -0.17 eV per atom

Unit cell a=14.284 b=14.284 c=14.284 alpha=31.52 beta=31.52 gamma=31.52
Sites, in units of the cell vectors:
Ba  0.119  0.119  0.119
Ba  0.296  0.296  0.296
Ba  0.704  0.704  0.704
Ba  0.881  0.881  0.881
Cd  0.000  0.000  0.000
Cd  0.500  0.500  0.500
Ga  0.431  0.431  0.431
Ga  0.569  0.569  0.569
Pb  0.064  0.656  0.656
Pb  0.233  0.233  0.666
Pb  0.233  0.666  0.233
Pb  0.334  0.767  0.767
Pb  0.344  0.344  0.936
Pb  0.344  0.936  0.344
Pb  0.656  0.064  0.656
Pb  0.656  0.656  0.064
Pb  0.666  0.233  0.233
Pb  0.767  0.334  0.767
Pb  0.767  0.767  0.334
Pb  0.936  0.344  0.344